TiIr3Pd at its PBEsol-relaxed geometry. Source: the Alexandria database, functional meta-GGA SCAN.

Cell: 4.473 4.473 4.473 Å, 90.00 90.00 90.00°
Last column: magnetic moment on the atom in μB.
Atoms (fractional coordinates):
Ir: 0.000 0.500 0.000  0.37
Ir: 0.000 0.000 0.500  0.37
Ir: 0.500 0.000 0.000  0.37
Pd: 0.500 0.500 0.500  0.39
Ti: 0.000 0.000 0.000  -0.04

DOS(E_F), states/eV/f.u.: 5.9
E_tot, eV per atom: -51.04

TlIr3Pd at its PBEsol-relaxed geometry. Source: the Alexandria database, functional meta-GGA SCAN.

Cell: 4.715 4.715 4.715 Å, 90.00 90.00 90.00°
Last column: magnetic moment on the atom in μB.
Atoms (fractional coordinates):
Tl: 0.500 0.500 0.500  -0.05
Ir: 0.000 0.500 0.000  1.04
Ir: 0.000 0.000 0.500  1.04
Ir: 0.500 0.000 0.000  1.04
Pd: 0.000 0.000 0.000  0.54

DOS(E_F), states/eV/f.u.: 4.4
E_tot, eV per atom: -61.63

Tm2IrPd at its PBEsol-relaxed geometry. Source: the Alexandria database, functional meta-GGA SCAN.

Cell: 4.755 4.755 4.755 Å, 60.00 60.00 60.00°
Atoms (fractional coordinates):
Ir: 0.500 0.500 0.500
Tm: 0.250 0.250 0.250
Tm: 0.750 0.750 0.750
Pd: 0.000 0.000 0.000

DOS(E_F), states/eV/f.u.: 1.5
E_tot, eV per atom: -53.03

Y2IrPd at its PBEsol-relaxed geometry. Source: the Alexandria database, functional meta-GGA SCAN.

Cell: 4.828 4.828 4.828 Å, 60.00 60.00 60.00°
Atoms (fractional coordinates):
Y: 0.250 0.250 0.250
Y: 0.750 0.750 0.750
Ir: 0.500 0.500 0.500
Pd: 0.000 0.000 0.000

DOS(E_F), states/eV/f.u.: 1.6
E_tot, eV per atom: -40.92

ZnIr3Pd at its PBEsol-relaxed geometry. Source: the Alexandria database, functional meta-GGA SCAN.

Cell: 4.425 4.425 4.425 Å, 90.00 90.00 90.00°
Last column: magnetic moment on the atom in μB.
Atoms (fractional coordinates):
Zn: 0.000 0.000 0.000  -0.01
Ir: 0.000 0.500 0.000  0.80
Ir: 0.000 0.000 0.500  0.80
Ir: 0.500 0.000 0.000  0.80
Pd: 0.500 0.500 0.500  0.46

DOS(E_F), states/eV/f.u.: 6.7
E_tot, eV per atom: -50.13

Pr7Ir3 at its PBEsol-relaxed geometry. Source: the Alexandria database, functional meta-GGA SCAN.

Cell: 6.296 10.053 10.053 Å, 120.00 90.00 90.00°
Atoms (fractional coordinates):
Pr: 0.028 0.333 0.667
Pr: 0.528 0.667 0.333
Pr: 0.261 0.126 0.874
Pr: 0.261 0.126 0.253
Pr: 0.261 0.747 0.874
Pr: 0.761 0.874 0.126
Pr: 0.761 0.874 0.747
Pr: 0.761 0.253 0.126
Pr: 0.056 0.538 0.462
Pr: 0.056 0.538 0.076
Pr: 0.056 0.924 0.462
Pr: 0.556 0.462 0.538
Pr: 0.556 0.462 0.924
Pr: 0.556 0.076 0.538
Ir: 0.306 0.812 0.188
Ir: 0.306 0.812 0.625
Ir: 0.306 0.375 0.188
Ir: 0.806 0.188 0.812
Ir: 0.806 0.188 0.375
Ir: 0.806 0.625 0.812

DOS(E_F), states/eV/f.u.: 11.1
E_tot, eV per atom: -52.28

Pr5Ir2 at its PBEsol-relaxed geometry. Source: the Alexandria database, functional meta-GGA SCAN.

Cell: 6.623 7.282 8.906 Å, 96.33 111.83 90.00°
Atoms (fractional coordinates):
Pr: 0.203 0.921 0.184
Pr: 0.019 0.579 0.816
Pr: 0.797 0.079 0.816
Pr: 0.981 0.421 0.184
Pr: 0.790 0.815 0.437
Pr: 0.353 0.685 0.563
Pr: 0.210 0.185 0.563
Pr: 0.647 0.315 0.437
Pr: 0.572 0.750 0.000
Pr: 0.428 0.250 0.000
Ir: 0.406 0.576 0.223
Ir: 0.183 0.924 0.777
Ir: 0.594 0.424 0.777
Ir: 0.817 0.076 0.223

DOS(E_F), states/eV/f.u.: 6.4
E_tot, eV per atom: -51.88

Pr2IrRh at its PBEsol-relaxed geometry. Source: the Alexandria database, functional meta-GGA SCAN.

Cell: 4.968 4.968 4.968 Å, 60.00 60.00 60.00°
Atoms (fractional coordinates):
Pr: 0.250 0.250 0.250
Pr: 0.750 0.750 0.750
Ir: 0.000 0.000 0.000
Rh: 0.500 0.500 0.500

DOS(E_F), states/eV/f.u.: 1.9
E_tot, eV per atom: -48.55